An optimized crystal structure of Rb2SrSnSb2. Source: Alexandria via LeMat-Bulk, functional PBE.

Values from the calculation:
Total energy in eV per atom: -3.184

Cell lengths 4.6963, 10.3370, 9.7013 Å; angles 90.00, 90.00, 90.00 degrees
Closest atoms and distances in Å follow each position.
Space group Pmc2_1 (No. 26)
Unique sites:
Rb: 0.0000 0.0850 0.0000 x2  5 Sb 3.64-4.03, 1 Sn 3.90, 2 Rb 3.98
Rb: 0.5000 0.1998 0.3085 x2  2 Sn 3.64, 4 Sb 3.74-4.04, 1 Sr 3.81, 2 Rb 3.98
Sr: 0.5000 0.4375 0.8797 x2  5 Sb 3.32-3.55
Sn: 0.0000 0.2847 0.5803 x2  3 Sb 2.91-3.05
Sb: 0.0000 0.4419 0.1537 x2  1 Sn 2.91
Sb: 0.5000 0.1527 0.7223 x2  2 Sn 3.05, 1 Sr 3.32

An optimized crystal structure of Rb2TcSnSb. Source: Alexandria via LeMat-Bulk, functional PBE.

Values from the calculation:
Total energy in eV per atom: -3.297

Cell lengths 6.6102, 6.6102, 5.0908 Å; angles 90.00, 90.00, 90.00 degrees
Closest atoms and distances in Å follow each position.
Space group P4/mmm (No. 123)
Unique sites:
Rb: 0.0000 0.5000 0.0000 x2  2 Tc 3.31
Tc: 0.0000 0.0000 0.0000 x1  2 Sb 2.55
Sn: 0.5000 0.5000 0.5000 x1  8 Rb 4.17
Sb: 0.0000 0.0000 0.5000 x1  2 Tc 2.55

An optimized crystal structure of Rb2SnSbTe4. Source: Alexandria via LeMat-Bulk, functional PBE.

Values from the calculation:
Total energy in eV per atom: -3.303

Cell lengths 7.4250, 16.0483, 23.8807 Å; angles 90.00, 90.00, 90.00 degrees
Closest atoms and distances in Å follow each position.
Space group Fddd (No. 70, origin choice 2)
Unique sites:
Rb: 0.1250 0.1250 0.3156 x16  4 Te 3.73-3.90
Sn: 0.1250 0.1250 0.6250 x8  4 Te 3.10
Sb: 0.1250 0.1250 0.1250 x8  4 Te 2.92
Te: 0.1056 0.2715 0.4457 x32  1 Sb 2.92, 1 Sn 3.10

An optimized crystal structure of Rb4Tl2SnSb2. Source: Alexandria via LeMat-Bulk, functional PBE.

Values from the calculation:
Total energy in eV per atom: -2.410

Cell lengths 10.4479, 10.7019, 9.1253 Å; angles 90.00, 124.19, 90.00 degrees
Closest atoms and distances in Å follow each position.
Space group C2/m (No. 12)
Unique sites:
Rb: 0.2285 0.2101 0.2578 x8  3 Sb 3.81-3.95, 2 Tl 3.87-3.91, 1 Sn 3.94
Tl: 0.0401 0.5000 0.8603 x4  1 Sb 3.01, 1 Tl 3.10
Sn: 0.0000 0.0000 0.5000 x2  2 Sb 2.84
Sb: 0.1165 0.0000 0.8657 x4  1 Sn 2.84, 1 Tl 3.01

An optimized crystal structure of RbTlSnSb2. Source: Alexandria via LeMat-Bulk, functional PBE.

Values from the calculation:
Total energy in eV per atom: -3.266

Cell lengths 17.7455, 4.6520, 11.8160 Å; angles 90.00, 123.99, 90.00 degrees
Closest atoms and distances in Å follow each position.
Space group C2/m (No. 12)
Unique sites:
Rb: 0.2079 0.0000 0.1584 x4  5 Sb 3.76-3.97, 2 Tl 4.07
Tl: 0.1407 0.5000 0.3722 x4  4 Sb 3.09-3.39
Sn: 0.0482 0.0000 0.6897 x4  4 Sb 2.93-2.98
Sb: 0.0755 0.5000 0.8594 x4  2 Sn 2.93, 1 Tl 3.24
Sb: 0.1435 0.0000 0.5467 x4  2 Sn 2.96-2.98, 2 Tl 3.09

An optimized crystal structure of Rb2TlSnSb2. Source: Alexandria via LeMat-Bulk, functional PBE.

Values from the calculation:
Total energy in eV per atom: -3.044

Cell lengths 7.9555, 15.9387, 7.7968 Å; angles 90.00, 90.00, 90.00 degrees
Closest atoms and distances in Å follow each position.
Space group Ibam (No. 72)
Unique sites:
Rb: 0.2432 0.1673 0.0000 x8  6 Sb 3.82-4.28, 2 Tl 3.83, 2 Sn 3.88
Tl: 0.0000 0.0000 0.2500 x4  4 Sb 3.27
Sn: 0.0000 0.5000 0.2500 x4  4 Sb 3.04
Sb: 0.2268 0.4072 0.0000 x8  2 Sn 3.04, 2 Tl 3.27

An optimized crystal structure of Rb3Tl2Sn2Sb4. Source: Alexandria via LeMat-Bulk, functional PBE.

Values from the calculation:
Total energy in eV per atom: -3.111

Cell lengths 5.3061, 5.3061, 18.5098 Å; angles 90.00, 90.00, 120.00 degrees
Closest atoms and distances in Å follow each position.
Space group P-3m1 (No. 164)
Unique sites:
Rb: 0.0000 0.0000 0.0000 x1  6 Sb 4.03, 6 Tl 4.04
Rb: 0.0000 0.0000 0.2820 x2  6 Sb 3.82-4.02, 3 Tl 4.01, 3 Sn 4.19
Tl: 0.3333 0.6667 0.1423 x2  3 Sb 3.06
Sn: 0.3333 0.6667 0.5633 x2  4 Sb 2.93-3.12
Sb: 0.3333 0.6667 0.4051 x2  4 Sn 2.93-3.12
Sb: 0.3333 0.6667 0.8584 x2  3 Tl 3.06

An optimized crystal structure of RbTlSnSb. Source: Alexandria via LeMat-Bulk, functional PBE.

Values from the calculation:
Total energy in eV per atom: -2.947

Cell lengths 5.2381, 5.2381, 20.2661 Å; angles 90.00, 90.00, 120.00 degrees
Closest atoms and distances in Å follow each position.
Space group R3m (No. 160, hexagonal axes)
Unique sites:
Rb: 0.0000 0.0000 0.0000 x3  1 Sn 3.78, 3 Tl 3.85, 4 Sb 4.02-4.11
Tl: 0.0000 0.0000 0.4507 x3  3 Sn 3.08
Sn: 0.0000 0.0000 0.8135 x3  3 Tl 3.08, 3 Sb 3.23
Sb: 0.0000 0.0000 0.2028 x3  3 Sn 3.23, 3 Tl 3.48

Here are the calculated energy relative to the elements, uncorrected numbers, same order: -0.5398, 0.7879, -0.4745, -0.0932, -0.1495, -0.2854, -0.1899, -0.0822 (eV/atom).